# CePr14Dy | Alexandria | PBE | optimized geometry
# N(E_F) (states/eV per cell): 60.413
# Calculated total energy (eV per atom): -4.810
# Crystal system: orthorhombic
data_CePr14Dy
_cell_length_a 10.478
_cell_length_b 10.436
_cell_length_c 10.436
_cell_angle_alpha 90.00
_cell_angle_beta 90.00
_cell_angle_gamma 90.00
_space_group_name_H-M_alt 'A m m 2'
_space_group_IT_number 38
loop_
_space_group_symop_operation_xyz
'x,y,z'
'-x,-y,z'
'-x,y,z'
'x,-y,z'
'x,y+1/2,z+1/2'
'-x,-y+1/2,z+1/2'
'-x,y+1/2,z+1/2'
'x,-y+1/2,z+1/2'
loop_
_atom_site_label
_atom_site_type_symbol
_atom_site_fract_x
_atom_site_fract_y
_atom_site_fract_z
Ce1 Ce 0.000 0.000 0.000
Pr1 Pr 0.000 0.249 0.750
Pr2 Pr 0.246 0.000 0.249
Pr3 Pr 0.246 0.249 0.000
Pr4 Pr 0.247 0.000 0.751
Pr5 Pr 0.500 0.000 0.000
Pr6 Pr 0.500 0.000 0.500
Pr7 Pr 0.500 0.249 0.250
Dy1 Dy 0.000 0.000 0.500